A geometry-optimized Ho3Si13Os4 structure, computed with PBE-GGA.

It has space group Pm-3n (No. 223), with a = 8.7913 Å, b = 8.7913 Å, c = 8.7913 Å, α = 90.00°, β = 90.00° and γ = 90.00°. The inequivalent atoms are Ho at (0.0000, 0.2500, 0.5000), Si at (0.0000, 0.0000, 0.0000), Si at (0.0000, 0.2814, 0.1384) and Os at (0.2500, 0.2500, 0.2500).

For the final energy, the calculation gives -6.92 eV per atom. Its crystal system is cubic. The total magnetization comes out at 0.0000 μB per atom.